(1)
# NdGdAlPd GGA-PBE optimized geometry
data_NdGdAlPd
_chemical_formula_sum 'Nd1 Gd1 Al1 Pd1'
_symmetry_space_group_name_H-M 'P 1'
_symmetry_Int_Tables_number 1
_cell_length_a 5.1720
_cell_length_b 5.1720
_cell_length_c 5.1720
_cell_angle_alpha 60.00
_cell_angle_beta 60.00
_cell_angle_gamma 60.00
loop_
_symmetry_equiv_pos_as_xyz
'x,y,z'
loop_
_atom_site_label
_atom_site_fract_x
_atom_site_fract_y
_atom_site_fract_z
Gd1 0.7500 0.7500 0.7500
Nd1 0.2500 0.2500 0.2500
Al1 0.5000 0.5000 0.5000
Pd1 0.0000 0.0000 0.0000
# Calculated total energy in eV per atom: -7.45
# Formation energy from the elements in eV per atom: -0.503
# M_tot in μB/atom: 1.793

***

(2)
# NdGdScAl GGA-PBE optimized geometry
data_NdGdScAl
_chemical_formula_sum 'Nd1 Gd1 Sc1 Al1'
_symmetry_space_group_name_H-M 'P 1'
_symmetry_Int_Tables_number 1
_cell_length_a 5.3125
_cell_length_b 5.3125
_cell_length_c 5.3125
_cell_angle_alpha 60.00
_cell_angle_beta 60.00
_cell_angle_gamma 60.00
loop_
_symmetry_equiv_pos_as_xyz
'x,y,z'
loop_
_atom_site_label
_atom_site_fract_x
_atom_site_fract_y
_atom_site_fract_z
Sc1 0.7500 0.7500 0.7500
Gd1 0.5000 0.5000 0.5000
Nd1 0.0000 0.0000 0.0000
Al1 0.2500 0.2500 0.2500
# Calculated total energy in eV per atom: -7.34
# Formation energy from the elements in eV per atom: -0.108
# M_tot in μB/atom: 2.038

***

(3)
# NdSmGdAl GGA-PBE optimized geometry
data_NdSmGdAl
_chemical_formula_sum 'Nd1 Sm1 Gd1 Al1'
_symmetry_space_group_name_H-M 'P 1'
_symmetry_Int_Tables_number 1
_cell_length_a 5.4493
_cell_length_b 5.4493
_cell_length_c 5.4493
_cell_angle_alpha 60.00
_cell_angle_beta 60.00
_cell_angle_gamma 60.00
loop_
_symmetry_equiv_pos_as_xyz
'x,y,z'
loop_
_atom_site_label
_atom_site_fract_x
_atom_site_fract_y
_atom_site_fract_z
Gd1 0.7500 0.7500 0.7500
Nd1 0.0000 0.0000 0.0000
Al1 0.2500 0.2500 0.2500
Sm1 0.5000 0.5000 0.5000
# Calculated total energy in eV per atom: -6.90
# Formation energy from the elements in eV per atom: -0.070
# M_tot in μB/atom: 1.969

***

(4)
# NdGdThAl GGA-PBE optimized geometry
data_NdGdThAl
_chemical_formula_sum 'Nd1 Gd1 Th1 Al1'
_symmetry_space_group_name_H-M 'P 1'
_symmetry_Int_Tables_number 1
_cell_length_a 5.4444
_cell_length_b 5.4444
_cell_length_c 5.4444
_cell_angle_alpha 60.00
_cell_angle_beta 60.00
_cell_angle_gamma 60.00
loop_
_symmetry_equiv_pos_as_xyz
'x,y,z'
loop_
_atom_site_label
_atom_site_fract_x
_atom_site_fract_y
_atom_site_fract_z
Gd1 0.7500 0.7500 0.7500
Nd1 0.5000 0.5000 0.5000
Al1 0.2500 0.2500 0.2500
Th1 0.0000 0.0000 0.0000
# Calculated total energy in eV per atom: -7.53
# Formation energy from the elements in eV per atom: -0.023
# M_tot in μB/atom: 1.883

***

(5)
# NdGdAlTl GGA-PBE optimized geometry
data_NdGdAlTl
_chemical_formula_sum 'Nd1 Gd1 Al1 Tl1'
_symmetry_space_group_name_H-M 'P 1'
_symmetry_Int_Tables_number 1
_cell_length_a 5.3525
_cell_length_b 5.3525
_cell_length_c 5.3525
_cell_angle_alpha 60.00
_cell_angle_beta 60.00
_cell_angle_gamma 60.00
loop_
_symmetry_equiv_pos_as_xyz
'x,y,z'
loop_
_atom_site_label
_atom_site_fract_x
_atom_site_fract_y
_atom_site_fract_z
Tl1 0.7500 0.7500 0.7500
Gd1 0.0000 0.0000 0.0000
Nd1 0.5000 0.5000 0.5000
Al1 0.2500 0.2500 0.2500
# Calculated total energy in eV per atom: -6.58
# Formation energy from the elements in eV per atom: -0.343
# M_tot in μB/atom: 1.787

***

(6)
# NdGdYAl GGA-PBE optimized geometry
data_NdGdYAl
_chemical_formula_sum 'Nd1 Gd1 Y1 Al1'
_symmetry_space_group_name_H-M 'P 1'
_symmetry_Int_Tables_number 1
_cell_length_a 5.4205
_cell_length_b 5.4205
_cell_length_c 5.4205
_cell_angle_alpha 60.00
_cell_angle_beta 60.00
_cell_angle_gamma 60.00
loop_
_symmetry_equiv_pos_as_xyz
'x,y,z'
loop_
_atom_site_label
_atom_site_fract_x
_atom_site_fract_y
_atom_site_fract_z
Y1 0.2500 0.2500 0.2500
Gd1 0.0000 0.0000 0.0000
Nd1 0.7500 0.7500 0.7500
Al1 0.5000 0.5000 0.5000
# Calculated total energy in eV per atom: -7.34
# Formation energy from the elements in eV per atom: -0.073
# M_tot in μB/atom: 2.040

***

(7)
# GdAl2Ni GGA-PBE optimized geometry
data_GdAl2Ni
_chemical_formula_sum 'Gd2 Al4 Ni2'
_symmetry_space_group_name_H-M 'P 1'
_symmetry_Int_Tables_number 1
_cell_length_a 4.0763
_cell_length_b 5.5596
_cell_length_c 6.9183
_cell_angle_alpha 90.00
_cell_angle_beta 90.00
_cell_angle_gamma 111.68
loop_
_symmetry_equiv_pos_as_xyz
'x,y,z'
loop_
_atom_site_label
_atom_site_fract_x
_atom_site_fract_y
_atom_site_fract_z
Ni1 0.2171 0.4336 0.2500
Ni2 0.7829 0.5664 0.7500
Gd1 0.9424 0.8826 0.2500
Gd2 0.0576 0.1174 0.7500
Al1 0.3395 0.6791 0.9446
Al2 0.6605 0.3209 0.0554
Al3 0.6605 0.3209 0.4446
Al4 0.3395 0.6791 0.5554
# Calculated total energy in eV per atom: -7.46
# Formation energy from the elements in eV per atom: -0.625
# M_tot in μB/atom: 1.805

***

(8)
# Gd2AlNi2 GGA-PBE optimized geometry
data_Gd2AlNi2
_chemical_formula_sum 'Gd2 Al1 Ni2'
_symmetry_space_group_name_H-M 'P 1'
_symmetry_Int_Tables_number 1
_cell_length_a 4.2132
_cell_length_b 5.4362
_cell_length_c 5.4362
_cell_angle_alpha 59.75
_cell_angle_beta 67.20
_cell_angle_gamma 67.20
loop_
_symmetry_equiv_pos_as_xyz
'x,y,z'
loop_
_atom_site_label
_atom_site_fract_x
_atom_site_fract_y
_atom_site_fract_z
Ni1 0.5000 0.2654 0.7346
Ni2 0.5000 0.7346 0.2654
Gd1 0.7968 0.7032 0.7032
Gd2 0.2032 0.2968 0.2968
Al1 0.0000 0.0000 0.0000
# Calculated total energy in eV per atom: -9.21
# Formation energy from the elements in eV per atom: -0.515
# M_tot in μB/atom: 2.839

***

(9)
# GdAl2Ni GGA-PBE optimized geometry
data_GdAl2Ni
_chemical_formula_sum 'Gd1 Al2 Ni1'
_symmetry_space_group_name_H-M 'P 1'
_symmetry_Int_Tables_number 1
_cell_length_a 4.1132
_cell_length_b 4.1132
_cell_length_c 5.7482
_cell_angle_alpha 69.04
_cell_angle_beta 69.04
_cell_angle_gamma 60.00
loop_
_symmetry_equiv_pos_as_xyz
'x,y,z'
loop_
_atom_site_label
_atom_site_fract_x
_atom_site_fract_y
_atom_site_fract_z
Ni1 0.0000 0.0000 0.0000
Gd1 0.5000 0.5000 0.5000
Al1 0.7063 0.7063 0.8812
Al2 0.2937 0.2937 0.1188
# Calculated total energy in eV per atom: -7.34
# Formation energy from the elements in eV per atom: -0.499
# M_tot in μB/atom: 1.816

***

(10)
# GdAlNi GGA-PBE optimized geometry
data_GdAlNi
_chemical_formula_sum 'Gd1 Al1 Ni1'
_symmetry_space_group_name_H-M 'P 1'
_symmetry_Int_Tables_number 1
_cell_length_a 3.1571
_cell_length_b 3.1571
_cell_length_c 5.9324
_cell_angle_alpha 105.43
_cell_angle_beta 105.43
_cell_angle_gamma 90.00
loop_
_symmetry_equiv_pos_as_xyz
'x,y,z'
loop_
_atom_site_label
_atom_site_fract_x
_atom_site_fract_y
_atom_site_fract_z
Ni1 0.6928 0.6928 0.3856
Gd1 0.0107 0.0107 0.0213
Al1 0.2966 0.2966 0.5931
# Calculated total energy in eV per atom: -8.25
# Formation energy from the elements in eV per atom: -0.386
# M_tot in μB/atom: 2.455

***

(11)
# GdAl3Ni2 GGA-PBE optimized geometry
data_GdAl3Ni2
_chemical_formula_sum 'Gd3 Al9 Ni6'
_symmetry_space_group_name_H-M 'P 1'
_symmetry_Int_Tables_number 1
_cell_length_a 9.0603
_cell_length_b 9.0603
_cell_length_c 4.0859
_cell_angle_alpha 90.00
_cell_angle_beta 90.00
_cell_angle_gamma 120.00
loop_
_symmetry_equiv_pos_as_xyz
'x,y,z'
loop_
_atom_site_label
_atom_site_fract_x
_atom_site_fract_y
_atom_site_fract_z
Gd1 0.3333 0.6667 0.5000
Gd2 0.6667 0.3333 0.5000
Gd3 0.0000 0.0000 0.0000
Al1 0.5000 0.0000 0.0000
Al2 0.0000 0.5000 0.0000
Al3 0.5000 0.5000 0.0000
Al4 0.2969 0.0000 0.5000
Al5 0.7031 0.0000 0.5000
Al6 0.0000 0.2969 0.5000
Al7 0.0000 0.7031 0.5000
Al8 0.7031 0.7031 0.5000
Al9 0.2969 0.2969 0.5000
Ni1 0.1820 0.3641 0.0000
Ni2 0.8180 0.6359 0.0000
Ni3 0.6359 0.8180 0.0000
Ni4 0.3641 0.1820 0.0000
Ni5 0.1820 0.8180 0.0000
Ni6 0.8180 0.1820 0.0000
# Calculated total energy in eV per atom: -6.79
# Formation energy from the elements in eV per atom: -0.643
# M_tot in μB/atom: 0.398

***

(12)
# GdAlNi GGA-PBE optimized geometry
data_GdAlNi
_chemical_formula_sum 'Gd3 Al3 Ni3'
_symmetry_space_group_name_H-M 'P 1'
_symmetry_Int_Tables_number 1
_cell_length_a 4.0094
_cell_length_b 6.9323
_cell_length_c 6.9323
_cell_angle_alpha 120.00
_cell_angle_beta 90.00
_cell_angle_gamma 90.00
loop_
_symmetry_equiv_pos_as_xyz
'x,y,z'
loop_
_atom_site_label
_atom_site_fract_x
_atom_site_fract_y
_atom_site_fract_z
Ni1 0.5000 0.3333 0.6667
Ni2 0.0000 0.0000 0.0000
Ni3 0.5000 0.6667 0.3333
Gd1 0.0000 0.0000 0.5824
Gd2 0.0000 0.4176 0.4176
Gd3 0.0000 0.5824 0.0000
Al1 0.5000 0.7672 0.7672
Al2 0.5000 0.2328 0.0000
Al3 0.5000 0.0000 0.2328
# Calculated total energy in eV per atom: -8.45
# Formation energy from the elements in eV per atom: -0.582
# M_tot in μB/atom: 2.403

***

(13)
# GdAl2Ni GGA-PBE optimized geometry
data_GdAl2Ni
_chemical_formula_sum 'Gd1 Al2 Ni1'
_symmetry_space_group_name_H-M 'P 1'
_symmetry_Int_Tables_number 1
_cell_length_a 3.0689
_cell_length_b 3.0689
_cell_length_c 7.3612
_cell_angle_alpha 90.00
_cell_angle_beta 90.00
_cell_angle_gamma 90.00
loop_
_symmetry_equiv_pos_as_xyz
'x,y,z'
loop_
_atom_site_label
_atom_site_fract_x
_atom_site_fract_y
_atom_site_fract_z
Ni1 0.5000 0.5000 0.0000
Gd1 0.5000 0.5000 0.5000
Al1 0.0000 0.0000 0.8151
Al2 0.0000 0.0000 0.1849
# Calculated total energy in eV per atom: -7.29
# Formation energy from the elements in eV per atom: -0.454
# M_tot in μB/atom: 1.826

***

(14)
# GdAlNi GGA-PBE optimized geometry
data_GdAlNi
_chemical_formula_sum 'Gd1 Al1 Ni1'
_symmetry_space_group_name_H-M 'P 1'
_symmetry_Int_Tables_number 1
_cell_length_a 3.7746
_cell_length_b 4.2641
_cell_length_c 4.2641
_cell_angle_alpha 120.00
_cell_angle_beta 90.00
_cell_angle_gamma 90.00
loop_
_symmetry_equiv_pos_as_xyz
'x,y,z'
loop_
_atom_site_label
_atom_site_fract_x
_atom_site_fract_y
_atom_site_fract_z
Ni1 0.1667 0.0000 0.0000
Gd1 0.6667 0.3333 0.6667
Al1 0.1667 0.6667 0.3333
# Calculated total energy in eV per atom: -8.33
# Formation energy from the elements in eV per atom: -0.459
# M_tot in μB/atom: 2.389

***

(15)
# GdAlNi4 GGA-PBE optimized geometry
data_GdAlNi4
_chemical_formula_sum 'Gd1 Al1 Ni4'
_symmetry_space_group_name_H-M 'P 1'
_symmetry_Int_Tables_number 1
_cell_length_a 5.0770
_cell_length_b 5.0770
_cell_length_c 3.8762
_cell_angle_alpha 90.00
_cell_angle_beta 90.00
_cell_angle_gamma 120.00
loop_
_symmetry_equiv_pos_as_xyz
'x,y,z'
loop_
_atom_site_label
_atom_site_fract_x
_atom_site_fract_y
_atom_site_fract_z
Gd1 0.0000 0.0000 0.0000
Al1 0.6667 0.3333 0.0000
Ni1 0.3333 0.6667 0.0000
Ni2 0.4979 0.5021 0.5000
Ni3 0.4979 0.9958 0.5000
Ni4 0.0042 0.5021 0.5000
# Calculated total energy in eV per atom: -7.28
# Formation energy from the elements in eV per atom: -0.456
# M_tot in μB/atom: 1.178